{
  "formula": "Pr5Zn2",
  "functional": "PBE",
  "state": "relaxed",
  "de_polymorph_ev_per_atom": 0.015,
  "formation_enthalpy_0k_ev_per_atom": -0.10,
  "magnetic_moment_mub_per_cell": 0.00,
  "lattice": [[-4.0312, 7.5065, 3.4314], [4.0312, -7.5065, 3.4314], [4.0312, 7.5065, -3.4314]],
  "species": ["Pr", "Pr", "Pr", "Pr", "Pr", "Pr", "Pr", "Pr", "Pr", "Pr", "Zn", "Zn", "Zn", "Zn"],
  "frac_coords": [[0.0149, 0.2500, 0.7649], [0.0786, 0.6629, 0.7415], [0.2500, 0.2500, 0.0000], [0.4214, 0.1629, 0.5843], [0.4851, 0.2500, 0.2351], [0.5149, 0.7500, 0.7649], [0.5786, 0.8371, 0.4157], [0.7500, 0.7500, 0.0000], [0.9214, 0.3371, 0.2585], [0.9851, 0.7500, 0.2351], [0.1269, 0.2720, 0.3989], [0.3731, 0.7720, 0.1451], [0.6269, 0.2280, 0.8549], [0.8731, 0.7280, 0.6011]]
}